[1]
# RbCd2Hg8

RbCd2Hg8 after structural relaxation (PBE, Alexandria).

Values from the calculation:
DOS(E_F) = 0.25 states/eV per atom
Energy relative to the elements = -22 meV per atom

Geometry as CIF:
```
data_RbCd2Hg8
_cell_length_a 6.322
_cell_length_b 6.322
_cell_length_c 10.389
_cell_angle_alpha 90.00
_cell_angle_beta 90.00
_cell_angle_gamma 90.00
_space_group_name_H-M_alt 'P 4/m m m'
_space_group_IT_number 123
_space_group_name_Hall '-P 4 2'
loop_
_atom_site_label
_atom_site_type_symbol
_atom_site_fract_x
_atom_site_fract_y
_atom_site_fract_z
_atom_site_occupancy
Rb1 Rb 0.000 0.000 0.000 1
Cd1 Cd 0.000 0.500 0.500 1
Hg1 Hg 0.253 0.253 0.285 1
```


[2]
# Rb2Cd5Hg

Rb2Cd5Hg after structural relaxation (PBE, Alexandria).

Values from the calculation:
DOS(E_F) = 0.35 states/eV per atom
Offset from the most stable computed form = 38 meV per atom
Energy relative to the elements = -48 meV per atom

Geometry as CIF:
```
data_Rb2Cd5Hg
_cell_length_a 6.619
_cell_length_b 6.619
_cell_length_c 13.253
_cell_angle_alpha 90.00
_cell_angle_beta 90.00
_cell_angle_gamma 90.00
_space_group_name_H-M_alt 'I 4 m m'
_space_group_IT_number 107
_space_group_name_Hall 'I 4 -2'
loop_
_atom_site_label
_atom_site_type_symbol
_atom_site_fract_x
_atom_site_fract_y
_atom_site_fract_z
_atom_site_occupancy
Rb1 Rb 0.000 0.500 0.000 1
Cd1 Cd 0.000 0.000 0.117 1
Cd2 Cd 0.247 0.247 0.750 1
Hg1 Hg 0.000 0.000 0.893 1
```


[3]
# RbCd4Hg6

RbCd4Hg6 after structural relaxation (PBE, Alexandria).

Values from the calculation:
DOS(E_F) = 0.33 states/eV per atom
Offset from the most stable computed form = 0 meV per atom
Energy relative to the elements = -71 meV per atom

Geometry as CIF:
```
data_RbCd4Hg6
_cell_length_a 8.3103
_cell_length_b 8.3103
_cell_length_c 5.1146
_cell_angle_alpha 90.00
_cell_angle_beta 90.00
_cell_angle_gamma 120.00
_space_group_name_H-M_alt 'P -6 m 2'
_space_group_IT_number 187
_space_group_name_Hall 'P -6 2'
loop_
_atom_site_label
_atom_site_type_symbol
_atom_site_fract_x
_atom_site_fract_y
_atom_site_fract_z
_atom_site_occupancy
Rb1 Rb 0.0000 0.0000 0.0000 1
Cd1 Cd 0.2082 0.4165 0.5000 1
Cd2 Cd 0.6667 0.3333 0.0000 1
Hg1 Hg 0.0731 0.5365 0.0000 1
Hg2 Hg 0.3979 0.1989 0.5000 1
```